# PBE TbHo2Si2Pt7, optimized geometry
data_TbHo2Si2Pt7
_symmetry_space_group_name_H-M 'C 1 2/m 1'
_symmetry_Int_Tables_number 12
_cell_length_a 5.732
_cell_length_b 5.679
_cell_length_c 13.789
_cell_angle_alpha 90.00
_cell_angle_beta 98.95
_cell_angle_gamma 90.00
loop_
_symmetry_equiv_pos_as_xyz
'x,y,z'
'-x,-y,-z'
'-x,y,-z'
'x,-y,z'
'x+1/2,y+1/2,z'
'-x+1/2,-y+1/2,-z'
'-x+1/2,y+1/2,-z'
'x+1/2,-y+1/2,z'
loop_
_atom_site_label
_atom_site_type_symbol
_atom_site_fract_x
_atom_site_fract_y
_atom_site_fract_z
_atom_site_occupancy
Tb1 Tb 0.000 0.000 0.000 1
Ho1 Ho 0.120 0.000 0.357 1
Si1 Si 0.098 0.500 0.259 1
Pt1 Pt 0.000 0.500 0.000 1
Pt2 Pt 0.137 0.500 0.429 1
Pt3 Pt 0.188 0.250 0.837 1
# Energy: -6.70 eV per atom
# E_form (uncorrected): -1.12 eV per atom


# PBE Tl2Ir2O7, optimized geometry
data_Tl2Ir2O7
_symmetry_space_group_name_H-M 'C 1 2/m 1'
_symmetry_Int_Tables_number 12
_cell_length_a 6.462
_cell_length_b 11.640
_cell_length_c 6.068
_cell_angle_alpha 90.00
_cell_angle_beta 101.55
_cell_angle_gamma 90.00
loop_
_symmetry_equiv_pos_as_xyz
'x,y,z'
'-x,-y,-z'
'-x,y,-z'
'x,-y,z'
'x+1/2,y+1/2,z'
'-x+1/2,-y+1/2,-z'
'-x+1/2,y+1/2,-z'
'x+1/2,-y+1/2,z'
loop_
_atom_site_label
_atom_site_type_symbol
_atom_site_fract_x
_atom_site_fract_y
_atom_site_fract_z
_atom_site_occupancy
Tl1 Tl 0.000 0.192 0.000 1
Ir1 Ir 0.239 0.000 0.608 1
O1 O 0.000 0.500 0.500 1
O2 O 0.059 0.000 0.319 1
O3 O 0.210 0.367 0.236 1
# Energy: -5.74 eV per atom
# Energy relative to the lowest polymorph listed for this composition: 252.0 meV/atom
# E_form (uncorrected): -0.54 eV per atom


Density, record by record: 14310 6722 kg/m³